{
  "formula": "Ca2CuNiAu6",
  "functional": "PBE-GGA",
  "state": "optimized geometry",
  "cell": [[6.868, 0.000, 0.000], [0.000, 6.868, 0.000], [3.434, 3.434, 4.856]],
  "species": ["Ca", "Ca", "Cu", "Ni", "Au", "Au", "Au", "Au", "Au", "Au"],
  "frac_coords": [[0.250, 0.750, 0.500], [0.750, 0.250, 0.500], [0.500, 0.500, 0.000], [0.000, 0.000, 0.000], [0.249, 0.751, 0.000], [0.751, 0.751, 0.000], [0.249, 0.249, 0.502], [0.751, 0.249, 0.000], [0.249, 0.249, 0.000], [0.751, 0.751, 0.498]],
  "formation_enthalpy_0k_ev_per_atom": -0.16,
  "space_group": "Fm-3m"
}